## PmTm2Hf (PBE-GGA)

Data for crystalline PmTm2Hf at its relaxed geometry.

POSCAR file:
```
PmTm2Hf
1.0
1.6637 0.9605 12.0069
-1.6637 0.9605 12.0069
0.0000 -1.9211 12.0069
Pm Tm Hf
1 2 1
direct
0.0000 0.0000 0.0000
0.4142 0.4142 0.4142
0.5858 0.5858 0.5858
0.5000 0.5000 0.5000
```

Output
- space group = No. 166
- E above lowest polymorph (meV/atom) = 269
- total energy (eV per atom) = -5.540

## PmTmHf (PBE-GGA)

Data for crystalline PmTmHf at its relaxed geometry.

POSCAR file:
```
PmTmHf
1.0
5.3630 0.0000 0.0000
-2.6815 4.6445 0.0000
0.0000 0.0000 3.3539
Pm Tm Hf
1 1 1
direct
0.0000 0.0000 0.0000
0.3333 0.6667 0.5000
0.6667 0.3333 0.0000
```

Output
- space group = No. 187
- E above lowest polymorph (meV/atom) = 102
- total energy (eV per atom) = -6.182

## PmTmHf (PBE-GGA)

Data for crystalline PmTmHf at its relaxed geometry.

POSCAR file:
```
PmTmHf
1.0
3.3659 0.0000 0.0000
0.0000 3.3659 0.0000
0.0000 0.0000 14.9480
Pm Tm Hf
2 2 2
direct
0.2500 0.2500 0.0937
0.7500 0.7500 0.9063
0.2500 0.2500 0.7224
0.7500 0.7500 0.2776
0.2500 0.2500 0.4322
0.7500 0.7500 0.5678
```

Output
- space group = No. 129
- E above lowest polymorph (meV/atom) = 0
- total energy (eV per atom) = -6.284

- E above lowest polymorph of number 2 (PmTmHf)?
  102 meV/atom

- Which of these has the highest E above lowest polymorph?
  PmTm2Hf

- Which value of E above lowest polymorph does entry 2 give?
  102 meV/atom

- The highest E above lowest polymorph belongs to which entry?
  PmTm2Hf